DFT (PBE) results for a relaxed structure of CsFeS2Cl.

E_form (uncorrected) = -0.39 eV per atom
magnetic moment = 0.0 μB per formula unit
offset from the most stable computed form = 0 meV/atom

Cell: 4.486 4.486 5.723 Å, 90.00 90.00 90.00°
Space group P4/mmm (No. 123)
Symmetry-distinct sites (fractional):
Cs 0.000 0.000 0.000 [1 per cell]
Fe 0.500 0.500 0.500 [1 per cell]
S 0.000 0.500 0.500 [2 per cell]
Cl 0.500 0.500 0.000 [1 per cell]